No. 1
An optimized crystal structure of K12Sb7Pt. Source: Alexandria, functional PBE-GGA.

Cell: 10.383 10.383 10.383 Å, 107.67 107.67 107.67°
Fractional coordinates of all 20 atoms:
K1 0.848 0.346 0.705
K2 0.654 0.295 0.152
K3 0.386 0.110 0.302
K4 0.890 0.698 0.614
K5 0.295 0.152 0.654
K6 0.698 0.614 0.890
K7 0.302 0.386 0.110
K8 0.705 0.848 0.346
K9 0.110 0.302 0.386
K10 0.614 0.890 0.698
K11 0.346 0.705 0.848
K12 0.152 0.654 0.295
Sb1 0.093 0.769 0.996
Sb2 0.231 0.004 0.907
Sb3 0.004 0.907 0.231
Sb4 0.500 0.500 0.500
Sb5 0.996 0.093 0.769
Sb6 0.769 0.996 0.093
Sb7 0.907 0.231 0.004
Pt1 0.000 0.000 0.000

total moment	0.55	μB per formula unit
symmetry	R-3, No. 148
DOS at the Fermi energy	8.832	states/eV/f.u.

***

No. 2
An optimized crystal structure of KSb2Pt. Source: Alexandria, functional PBE-GGA.

Cell: 7.891 7.891 7.891 Å, 31.40 31.40 31.40°
Fractional coordinates of all 4 atoms:
Sb1 0.032 0.032 0.032
Sb2 0.468 0.468 0.468
K1 0.250 0.250 0.250
Pt1 0.750 0.750 0.750

total moment	0.00	μB per formula unit
energy relative to the lowest polymorph listed for this composition	6	meV per atom
symmetry	R-3m, No. 166
DOS at the Fermi energy	1.812	states/eV/f.u.

***

No. 3
An optimized crystal structure of KSbPt. Source: Alexandria, functional PBE-GGA.

Cell: 6.965 7.073 7.676 Å, 90.00 110.69 90.00°
Fractional coordinates of all 12 atoms:
K1 0.285 0.880 0.093
K2 0.785 0.620 0.593
K3 0.715 0.120 0.907
K4 0.215 0.380 0.407
Sb1 0.194 0.378 0.922
Sb2 0.806 0.622 0.078
Sb3 0.306 0.878 0.578
Sb4 0.694 0.122 0.422
Pt1 0.568 0.383 0.167
Pt2 0.432 0.617 0.833
Pt3 0.068 0.117 0.667
Pt4 0.932 0.883 0.333

total moment	0.00	μB per formula unit
energy relative to the lowest polymorph listed for this composition	0	meV per atom
symmetry	P2_1/c, No. 14
DOS at the Fermi energy	0.716	states/eV/f.u.

***

No. 4
An optimized crystal structure of KSbPt3. Source: Alexandria, functional PBE-GGA.

Cell: 4.962 4.962 4.962 Å, 90.00 90.00 90.00°
Fractional coordinates of all 5 atoms:
Sb1 0.500 0.500 0.500
K1 0.000 0.000 0.000
Pt1 0.000 0.500 0.000
Pt2 0.000 0.000 0.500
Pt3 0.500 0.000 0.000

total moment	0.00	μB per formula unit
energy relative to the lowest polymorph listed for this composition	2099	meV per atom
symmetry	Pm-3m, No. 221
DOS at the Fermi energy	4.126	states/eV/f.u.

***

No. 5
An optimized crystal structure of KSb2Pt. Source: Alexandria, functional PBE-GGA.

Cell: 4.159 7.354 7.731 Å, 90.00 90.00 90.00°
Fractional coordinates of all 8 atoms:
K1 0.500 0.899 0.000
K2 0.000 0.101 0.500
Sb1 0.000 0.662 0.712
Sb2 0.500 0.338 0.788
Sb3 0.000 0.662 0.288
Sb4 0.500 0.338 0.212
Pt1 0.500 0.570 0.500
Pt2 0.000 0.430 0.000

total moment	0.00	μB per formula unit
energy relative to the lowest polymorph listed for this composition	53	meV per atom
symmetry	Pmmn, No. 59
DOS at the Fermi energy	1.725	states/eV/f.u.

***

No. 6
An optimized crystal structure of K2Sb4Pt3. Source: Alexandria, functional PBE-GGA.

Cell: 6.513 6.513 7.450 Å, 102.12 102.12 121.31°
Fractional coordinates of all 9 atoms:
K1 0.627 0.627 0.254
K2 0.373 0.373 0.746
Sb1 0.024 0.691 0.715
Sb2 0.691 0.024 0.715
Sb3 0.976 0.309 0.285
Sb4 0.309 0.976 0.285
Pt1 0.500 0.000 0.000
Pt2 0.000 0.000 0.000
Pt3 0.000 0.500 0.000

total moment	0.00	μB per formula unit
symmetry	Fmmm, No. 69
DOS at the Fermi energy	4.633	states/eV/f.u.

***

No. 7
An optimized crystal structure of KSb2Pt. Source: Alexandria, functional PBE-GGA.

Cell: 4.978 9.575 10.499 Å, 117.13 103.71 90.00°
Fractional coordinates of all 16 atoms:
K1 0.700 0.700 0.400
K2 0.500 0.255 0.000
K3 0.500 0.745 0.000
K4 0.300 0.300 0.600
Sb1 0.921 0.421 0.842
Sb2 0.700 0.360 0.401
Sb3 0.700 0.041 0.401
Sb4 0.300 0.640 0.599
Sb5 0.081 0.081 0.161
Sb6 0.079 0.579 0.158
Sb7 0.919 0.919 0.839
Sb8 0.300 0.959 0.599
Pt1 0.846 0.599 0.692
Pt2 0.154 0.401 0.308
Pt3 0.154 0.907 0.308
Pt4 0.846 0.093 0.692

total moment	0.00	μB per formula unit
energy relative to the lowest polymorph listed for this composition	93	meV per atom
symmetry	Immm, No. 71
DOS at the Fermi energy	2.074	states/eV/f.u.

***

No. 8
An optimized crystal structure of KSb2Pt. Source: Alexandria, functional PBE-GGA.

Cell: 8.457 8.457 6.782 Å, 51.43 51.43 90.00°
Fractional coordinates of all 8 atoms:
Sb1 0.708 0.125 0.250
Sb2 0.042 0.625 0.250
Sb3 0.375 0.292 0.750
Sb4 0.875 0.958 0.750
K1 0.500 0.500 0.000
K2 0.250 0.750 0.500
Pt1 0.000 0.000 0.000
Pt2 0.750 0.250 0.500

total moment	0.00	μB per formula unit
energy relative to the lowest polymorph listed for this composition	222	meV per atom
symmetry	I-42d, No. 122
DOS at the Fermi energy	1.552	states/eV/f.u.

***

Listing formation energy from raw total energies for the structures above in their given order: -6.07; -1.93; -1.55; 9.13; -1.74; -3.63; -1.58; -1.07 eV per formula unit.